No. 1
Material: TaMn2
Method: DFT, PBE
State: relaxed

Geometry as POSCAR:
```
TaMn2
1.0
1.343 -7.147 0.000
1.343 7.147 0.000
0.000 0.000 4.542
Ta Mn
2 4
Direct
0.208 0.792 0.750
0.792 0.208 0.250
0.899 0.101 0.750
0.455 0.545 0.250
0.101 0.899 0.250
0.545 0.455 0.750
```

Summary:
spin magnetization = 0.212 μB/cell
N(E_F) = 4.136 states/eV/f.u.
ρ = 11.076 g/cm³
E_tot = -9.76 eV per atom
calculated formation energy = 0.303 eV per atom

---

No. 2
Material: Ta5Mn
Method: DFT, PBE
State: relaxed

Geometry as POSCAR:
```
Ta5Mn
1.0
-5.748 6.811 4.490
1.053 -0.991 2.852
2.392 2.116 -0.148
Ta Mn
5 1
Direct
0.333 0.000 0.000
0.983 0.000 0.000
0.683 0.000 0.000
0.506 0.500 0.500
0.161 0.500 0.500
0.833 0.500 0.500
```

Summary:
spin magnetization = 0.000 μB/cell
N(E_F) = 5.310 states/eV/f.u.
ρ = 15.617 g/cm³
E_tot = -11.45 eV per atom
calculated formation energy = -0.048 eV per atom

---

No. 3
Material: Ta3Mn
Method: DFT, PBE
State: relaxed

Geometry as POSCAR:
```
Ta3Mn
1.0
3.150 0.000 0.000
0.000 3.150 0.000
0.000 0.000 6.602
Ta Mn
3 1
Direct
0.500 0.500 0.229
0.500 0.500 0.771
0.000 0.000 0.500
0.000 0.000 0.000
```

Summary:
spin magnetization = 0.000 μB/cell
N(E_F) = 3.244 states/eV/f.u.
ρ = 15.153 g/cm³
E_tot = -11.27 eV per atom
calculated formation energy = -0.087 eV per atom

---

No. 4
Material: Ta4Mn
Method: DFT, PBE
State: relaxed

Geometry as POSCAR:
```
Ta4Mn
1.0
3.167 -1.032 6.415
5.612 2.899 3.514
-6.050 0.925 -3.845
Ta Mn
4 1
Direct
0.405 0.405 0.000
0.750 0.250 0.500
0.250 0.750 0.500
0.595 0.595 0.000
0.000 0.000 0.000
```

Summary:
spin magnetization = 3.357 μB/cell
N(E_F) = 4.762 states/eV/f.u.
ρ = 12.946 g/cm³
E_tot = -10.38 eV per atom
calculated formation energy = 0.935 eV per atom

---

No. 5
Material: Ta5Mn24
Method: DFT, PBE
State: relaxed

Geometry as POSCAR:
```
Ta5Mn24
1.0
-5.263 -0.375 5.577
3.379 -6.848 -0.796
5.284 5.265 1.818
Mn Ta
24 5
Direct
0.614 0.329 0.000
0.625 0.000 0.803
0.822 0.197 0.197
0.000 0.625 0.803
0.614 0.000 0.329
0.386 0.386 0.716
0.329 0.614 0.000
0.671 0.671 0.284
0.625 0.803 0.000
0.197 0.822 0.197
0.000 0.329 0.614
0.375 0.178 0.375
0.000 0.803 0.625
0.000 0.614 0.329
0.178 0.375 0.375
0.803 0.625 0.000
0.197 0.197 0.822
0.329 0.000 0.614
0.671 0.284 0.671
0.716 0.386 0.386
0.386 0.716 0.386
0.375 0.375 0.178
0.803 0.000 0.625
0.284 0.671 0.671
0.379 0.000 0.000
0.000 0.000 0.379
0.621 0.621 0.621
0.000 0.379 0.000
0.000 0.000 0.000
```

Summary:
spin magnetization = 0.005 μB/cell
N(E_F) = 41.923 states/eV/f.u.
ρ = 10.597 g/cm³
E_tot = -9.74 eV per atom
calculated formation energy = -0.106 eV per atom

---

No. 6
Material: TaMn3
Method: DFT, PBE
State: relaxed

Geometry as POSCAR:
```
TaMn3
1.0
2.652 0.000 -0.004
0.000 4.011 0.000
1.066 0.000 4.907
Mn Ta
3 1
Direct
0.016 0.000 0.022
0.250 0.500 0.250
0.484 0.000 0.478
0.750 0.500 0.750
```

Summary:
spin magnetization = 2.226 μB/cell
N(E_F) = 5.883 states/eV/f.u.
ρ = 10.998 g/cm³
E_tot = -9.71 eV per atom
calculated formation energy = 0.132 eV per atom

---

No. 7
Material: TaMn2
Method: DFT, PBE
State: relaxed

Geometry as POSCAR:
```
TaMn2
1.0
-3.222 5.683 0.269
2.321 -5.518 2.629
3.567 1.975 0.997
Ta Mn
2 4
Direct
0.587 0.413 0.250
0.413 0.587 0.750
0.913 0.087 0.250
0.087 0.913 0.750
0.742 0.258 0.750
0.258 0.742 0.250
```

Summary:
spin magnetization = 3.274 μB/cell
N(E_F) = 2.710 states/eV/f.u.
ρ = 11.905 g/cm³
E_tot = -10.10 eV per atom
calculated formation energy = -0.034 eV per atom

---

No. 8
Material: Ta3Mn5
Method: DFT, PBE
State: relaxed

Geometry as POSCAR:
```
Ta3Mn5
1.0
4.988 0.000 -0.003
2.494 5.907 -0.001
-2.498 0.000 7.756
Mn Ta
10 6
Direct
0.464 0.744 0.670
0.238 0.840 0.314
0.237 0.329 0.804
0.231 0.500 0.450
0.754 0.713 0.221
0.707 0.256 0.670
0.577 0.160 0.314
0.066 0.671 0.804
0.720 0.500 0.450
0.967 0.287 0.221
0.742 0.000 0.985
0.716 0.500 0.933
0.308 0.500 0.117
0.203 0.132 0.535
0.835 0.868 0.535
0.242 0.000 0.985
```

Summary:
spin magnetization = 3.526 μB/cell
N(E_F) = 8.372 states/eV/f.u.
ρ = 11.883 g/cm³
E_tot = -9.99 eV per atom
calculated formation energy = 0.188 eV per atom

---

No. 9
Material: Ta4Mn
Method: DFT, PBE
State: relaxed

Geometry as POSCAR:
```
Ta4Mn
1.0
-0.381 2.797 -1.401
0.778 -0.767 -5.287
-4.843 -2.383 0.103
Mn Ta
1 4
Direct
0.000 0.000 0.000
0.787 0.804 0.377
0.409 0.377 0.196
0.213 0.196 0.623
0.591 0.623 0.804
```

Summary:
spin magnetization = 0.000 μB/cell
N(E_F) = 4.201 states/eV/f.u.
ρ = 15.392 g/cm³
E_tot = -11.37 eV per atom
calculated formation energy = -0.056 eV per atom

---

No. 10
Material: Ta3Mn2
Method: DFT, PBE
State: relaxed

Geometry as POSCAR:
```
Ta3Mn2
1.0
-8.606 -5.403 -1.821
-6.627 -7.626 -2.123
-7.657 -6.899 0.590
Mn Ta
2 3
Direct
0.603 0.603 0.603
0.397 0.397 0.397
0.794 0.794 0.794
0.206 0.206 0.206
0.000 0.000 0.000
```

Summary:
spin magnetization = 0.768 μB/cell
N(E_F) = 4.277 states/eV/f.u.
ρ = 13.736 g/cm³
E_tot = -10.56 eV per atom
calculated formation energy = 0.218 eV per atom

---

No. 11
Material: Ta3Mn
Method: DFT, PBE
State: relaxed

Geometry as POSCAR:
```
Ta3Mn
1.0
2.835 -4.911 0.000
2.835 4.911 0.000
0.000 0.000 4.944
Ta Mn
6 2
Direct
0.169 0.338 0.750
0.169 0.831 0.750
0.662 0.831 0.750
0.831 0.662 0.250
0.338 0.169 0.250
0.831 0.169 0.250
0.333 0.667 0.250
0.667 0.333 0.750
```

Summary:
spin magnetization = 4.328 μB/cell
N(E_F) = 5.811 states/eV/f.u.
ρ = 14.423 g/cm³
E_tot = -10.90 eV per atom
calculated formation energy = 0.282 eV per atom

---

No. 12
Material: TaMn3
Method: DFT, PBE
State: relaxed

Geometry as POSCAR:
```
TaMn3
1.0
-4.036 -2.067 -1.250
2.415 -3.411 -2.158
0.042 -2.493 3.988
Ta Mn
2 6
Direct
0.500 0.500 0.500
0.000 0.000 0.000
0.500 0.000 0.250
0.000 0.750 0.500
0.500 0.000 0.750
0.000 0.250 0.500
0.750 0.500 0.000
0.250 0.500 0.000
```

Summary:
spin magnetization = 4.231 μB/cell
N(E_F) = 6.643 states/eV/f.u.
ρ = 11.036 g/cm³
E_tot = -9.67 eV per atom
calculated formation energy = 0.169 eV per atom